Entry 1:
Na4Al3Ge3ClO12: relaxed, PBE.

Unit cell a=9.1313 b=9.1313 c=9.1313 alpha=90.00 beta=90.00 gamma=90.00
Closest atoms and distances in Å follow each position.
Element x y z (fractional)
Na (0.1710, 0.8290, 0.8290)  3 O 2.35
Na (0.3290, 0.6710, 0.3290)  3 O 2.35
Na (0.6710, 0.3290, 0.3290)  3 O 2.35
Na (0.8290, 0.1710, 0.8290)  3 O 2.35
Na (0.3290, 0.3290, 0.6710)  3 O 2.35
Na (0.6710, 0.6710, 0.6710)  3 O 2.35
Na (0.1710, 0.1710, 0.1710)  3 O 2.35
Na (0.8290, 0.8290, 0.1710)  3 O 2.35
Al (0.0000, 0.5000, 0.7500)  4 O 1.77
Al (0.0000, 0.5000, 0.2500)  4 O 1.77
Al (0.5000, 0.7500, 0.0000)  4 O 1.77
Al (0.7500, 0.0000, 0.5000)  4 O 1.77
Al (0.5000, 0.2500, 0.0000)  4 O 1.77
Al (0.2500, 0.0000, 0.5000)  4 O 1.77
Ge (0.5000, 0.0000, 0.7500)  4 O 1.76
Ge (0.5000, 0.0000, 0.2500)  4 O 1.76
Ge (0.7500, 0.5000, 0.0000)  4 O 1.76
Ge (0.2500, 0.5000, 0.0000)  4 O 1.76
Ge (0.0000, 0.2500, 0.5000)  4 O 1.76
Ge (0.0000, 0.7500, 0.5000)  4 O 1.76
Cl (0.0000, 0.0000, 0.0000)  4 Na 2.70
Cl (0.5000, 0.5000, 0.5000)  4 Na 2.70
O (0.6431, 0.9257, 0.6434)  1 Ge 1.76, 1 Al 1.77
O (0.5743, 0.1431, 0.8566)  1 Ge 1.76, 1 Al 1.77
O (0.1431, 0.8566, 0.5743)  1 Ge 1.76, 1 Al 1.77
O (0.5743, 0.8569, 0.1434)  1 Ge 1.76, 1 Al 1.77
O (0.6434, 0.3569, 0.0743)  1 Ge 1.76, 1 Al 1.77
O (0.6431, 0.0743, 0.3566)  1 Ge 1.76, 1 Al 1.77
O (0.8569, 0.8566, 0.4257)  1 Ge 1.76, 1 Al 1.77
O (0.4257, 0.8569, 0.8566)  1 Ge 1.76, 1 Al 1.77
O (0.6434, 0.6431, 0.9257)  1 Ge 1.76, 1 Al 1.77
O (0.3569, 0.9257, 0.3566)  1 Ge 1.76, 1 Al 1.77
O (0.3566, 0.6431, 0.0743)  1 Ge 1.76, 1 Al 1.77
O (0.8566, 0.5743, 0.1431)  1 Ge 1.76, 1 Al 1.77
O (0.9257, 0.3566, 0.3569)  1 Ge 1.76, 1 Al 1.77
O (0.4257, 0.1431, 0.1434)  1 Ge 1.76, 1 Al 1.77
O (0.8569, 0.1434, 0.5743)  1 Ge 1.76, 1 Al 1.77
O (0.1434, 0.4257, 0.1431)  1 Ge 1.76, 1 Al 1.77
O (0.3569, 0.0743, 0.6434)  1 Ge 1.76, 1 Al 1.77
O (0.0743, 0.3566, 0.6431)  1 Ge 1.76, 1 Al 1.77
O (0.9257, 0.6434, 0.6431)  1 Ge 1.76, 1 Al 1.77
O (0.1434, 0.5743, 0.8569)  1 Ge 1.76, 1 Al 1.77
O (0.1431, 0.1434, 0.4257)  1 Ge 1.76, 1 Al 1.77
O (0.8566, 0.4257, 0.8569)  1 Ge 1.76, 1 Al 1.77
O (0.0743, 0.6434, 0.3569)  1 Ge 1.76, 1 Al 1.77
O (0.3566, 0.3569, 0.9257)  1 Ge 1.76, 1 Al 1.77

- Spin magnetization: 0.004 μB/atom
- DOS at the Fermi energy: 0.0 states/eV/f.u.
- E_form (uncorrected): -2.230 eV per atom
- Final energy: -0.4570 Ry per atom
- Crystal system: cubic


Entry 2:
Pm4Cd3Au: relaxed, PBE.

Unit cell a=3.7915 b=3.7915 c=15.2018 alpha=90.00 beta=90.00 gamma=90.00
Closest atoms and distances in Å follow each position.
Element x y z (fractional)
Cd (0.5000, 0.5000, 0.2477)  8 Pm 3.28-3.35
Cd (0.5000, 0.5000, 0.5000)  8 Pm 3.31
Cd (0.5000, 0.5000, 0.7523)  8 Pm 3.28-3.35
Au (0.5000, 0.5000, 0.0000)  8 Pm 3.20
Pm (0.0000, 0.0000, 0.8845)  4 Au 3.20, 4 Cd 3.35, 1 Pm 3.51
Pm (0.0000, 0.0000, 0.1155)  4 Au 3.20, 4 Cd 3.35, 1 Pm 3.51
Pm (0.0000, 0.0000, 0.3720)  8 Cd 3.28-3.31
Pm (0.0000, 0.0000, 0.6280)  8 Cd 3.28-3.31

- Spin magnetization: 0.025 μB/atom
- DOS at the Fermi energy: 8.7 states/eV/f.u.
- Energy relative to the elements: -436 meV/atom
- Final energy: -0.2619 Ry per atom
- Crystal system: tetragonal


Entry 3:
Rb2CdBrO: relaxed, PBE.

Unit cell a=5.9820 b=5.9820 c=4.4569 alpha=90.00 beta=90.00 gamma=90.00
Closest atoms and distances in Å follow each position.
Element x y z (fractional)
O (0.0000, 0.0000, 0.0000)  2 Cd 2.23
Br (0.5000, 0.5000, 0.5000)  8 Rb 3.73
Rb (0.0000, 0.5000, 0.0000)  2 O 2.99
Rb (0.5000, 0.0000, 0.0000)  2 O 2.99
Cd (0.0000, 0.0000, 0.5000)  2 O 2.23

- Spin magnetization: 0.000 μB/atom
- DOS at the Fermi energy: 0.6 states/eV/f.u.
- E_form (uncorrected): -1.103 eV per atom
- Final energy: -0.2204 Ry per atom
- Crystal system: tetragonal


Entry 4:
PmPr2NdSb4: relaxed, PBE.

Unit cell a=9.0677 b=9.0677 c=9.0677 alpha=120.00 beta=120.00 gamma=90.00
Closest atoms and distances in Å follow each position.
Element x y z (fractional)
Pm (0.0000, 0.5000, 0.0000)  6 Sb 3.19
Pm (0.0000, 0.5000, 0.5000)  6 Sb 3.19
Pr (0.5000, 0.0000, 0.0000)  6 Sb 3.22
Pr (0.5000, 0.0000, 0.5000)  6 Sb 3.22
Pr (0.0000, 0.0000, 0.5000)  6 Sb 3.21
Pr (0.5000, 0.5000, 0.0000)  6 Sb 3.21
Nd (0.5000, 0.5000, 0.5000)  6 Sb 3.20
Nd (0.0000, 0.0000, 0.0000)  6 Sb 3.20
Sb (0.2467, 0.7480, 0.9974)  2 Pm 3.19, 1 Nd 3.20, 3 Pr 3.21-3.22
Sb (0.7520, 0.2533, 0.5026)  2 Pm 3.19, 1 Nd 3.20, 3 Pr 3.21-3.22
Sb (0.2480, 0.7467, 0.4974)  2 Pm 3.19, 1 Nd 3.20, 3 Pr 3.21-3.22
Sb (0.7533, 0.2520, 0.0026)  2 Pm 3.19, 1 Nd 3.20, 3 Pr 3.21-3.22
Sb (0.7513, 0.7486, 0.9986)  1 Pm 3.19, 2 Nd 3.20, 3 Pr 3.21-3.22
Sb (0.7514, 0.7487, 0.5014)  1 Pm 3.19, 2 Nd 3.20, 3 Pr 3.21-3.22
Sb (0.2486, 0.2513, 0.4986)  1 Pm 3.19, 2 Nd 3.20, 3 Pr 3.21-3.22
Sb (0.2487, 0.2514, 0.0014)  1 Pm 3.19, 2 Nd 3.20, 3 Pr 3.21-3.22

- Spin magnetization: 0.000 μB/atom
- DOS at the Fermi energy: 1.0 states/eV/f.u.
- E_form (uncorrected): -1.190 eV per atom
- Final energy: -0.4142 Ry per atom
- Crystal system: orthorhombic


Entry 5:
BaPa4Be3O12: relaxed, PBE.

Unit cell a=7.0111 b=7.0111 c=7.0111 alpha=109.47 beta=109.47 gamma=109.47
Closest atoms and distances in Å follow each position.
Element x y z (fractional)
Ba (0.0000, 0.0000, 0.0000)  12 O 2.99
Pa (0.5000, 0.0000, 0.0000)  6 O 2.28
Pa (0.5000, 0.5000, 0.5000)  6 O 2.28
Pa (0.0000, 0.5000, 0.0000)  6 O 2.28
Pa (0.0000, 0.0000, 0.5000)  6 O 2.28
Be (0.0000, 0.5000, 0.5000)  4 O 1.81
Be (0.5000, 0.5000, 0.0000)  4 O 1.81
Be (0.5000, 0.0000, 0.5000)  4 O 1.81
O (0.3367, 0.8472, 0.1839)  1 Be 1.81
O (0.6633, 0.1528, 0.8161)  1 Be 1.81
O (0.6633, 0.8472, 0.5105)  1 Be 1.81
O (0.8161, 0.6633, 0.1528)  1 Be 1.81
O (0.8472, 0.1839, 0.3367)  1 Be 1.81
O (0.1528, 0.4895, 0.3367)  1 Be 1.81
O (0.4895, 0.3367, 0.1528)  1 Be 1.81
O (0.1528, 0.8161, 0.6633)  1 Be 1.81
O (0.3367, 0.1528, 0.4895)  1 Be 1.81
O (0.1839, 0.3367, 0.8472)  1 Be 1.81
O (0.8472, 0.5105, 0.6633)  1 Be 1.81
O (0.5105, 0.6633, 0.8472)  1 Be 1.81

- Spin magnetization: 0.203 μB/atom
- DOS at the Fermi energy: 7.8 states/eV/f.u.
- E_form (uncorrected): -2.741 eV per atom
- Final energy: -0.6079 Ry per atom
- Crystal system: cubic


Entry 6:
PmBeAl3: relaxed, PBE.

Unit cell a=4.1177 b=4.1178 c=6.0987 alpha=70.32 beta=70.32 gamma=89.96
Closest atoms and distances in Å follow each position.
Element x y z (fractional)
Pm (0.4051, 0.2087, 0.8949)  8 Al 3.12-3.27, 4 Be 3.15-3.16
Be (0.0185, 0.8216, 0.6694)  5 Al 2.33-2.45
Al (0.6415, 0.9457, 0.4216)  2 Be 2.45, 2 Al 2.67
Al (0.1421, 0.4449, 0.4216)  2 Be 2.45, 2 Al 2.67
Al (0.8006, 0.6042, 0.1036)  1 Be 2.33

- Spin magnetization: 0.000 μB/atom
- DOS at the Fermi energy: 1.4 states/eV/f.u.
- Energy relative to the elements: -343 meV/atom
- Final energy: -0.3149 Ry per atom
- Crystal system: tetragonal


Entry 7:
Ba2CaYSe4: relaxed, PBE.

Unit cell a=4.3672 b=7.5758 c=7.7701 alpha=108.90 beta=90.00 gamma=90.00
Closest atoms and distances in Å follow each position.
Element x y z (fractional)
Ba (0.5000, 0.0000, 0.5000)  6 Se 3.30-3.31
Ba (0.0000, 0.5000, 0.5000)  6 Se 3.25-3.26
Ca (0.0000, 0.0000, 0.0000)  6 Se 3.00-3.01
Y (0.5000, 0.5000, 0.0000)  6 Se 2.94-2.96
Se (0.5000, 0.2448, 0.2161)  1 Y 2.94, 2 Ca 3.00, 2 Ba 3.26
Se (0.5000, 0.7552, 0.7839)  1 Y 2.94, 2 Ca 3.00, 2 Ba 3.26
Se (0.0000, 0.2668, 0.7855)  2 Y 2.96, 1 Ca 3.01, 3 Ba 3.25-3.30
Se (0.0000, 0.7332, 0.2145)  2 Y 2.96, 1 Ca 3.01, 3 Ba 3.25-3.30

- Spin magnetization: 0.000 μB/atom
- DOS at the Fermi energy: 2.7 states/eV/f.u.
- E_form (uncorrected): -1.945 eV per atom
- Final energy: -0.3841 Ry per atom
- Crystal system: monoclinic


Entry 8:
Na2AgHgSb: relaxed, PBE.

Unit cell a=5.9829 b=5.9829 c=5.2419 alpha=90.00 beta=90.00 gamma=90.00
Closest atoms and distances in Å follow each position.
Element x y z (fractional)
Sb (0.0000, 0.0000, 0.0000)  2 Ag 2.62
Hg (0.5000, 0.5000, 0.5000)  8 Na 3.98, 4 Ag 4.23
Ag (0.0000, 0.0000, 0.5000)  2 Sb 2.62
Na (0.0000, 0.5000, 0.0000)  2 Sb 2.99
Na (0.5000, 0.0000, 0.0000)  2 Sb 2.99

- Spin magnetization: 0.000 μB/atom
- DOS at the Fermi energy: 0.1 states/eV/f.u.
- E_form (uncorrected): -0.114 eV per atom
- Final energy: -0.1541 Ry per atom
- Crystal system: tetragonal


Entry 9:
Sm3Al4Ga4: relaxed, PBE.

Unit cell a=4.3129 b=4.1453 c=13.2825 alpha=98.98 beta=99.34 gamma=90.00
Closest atoms and distances in Å follow each position.
Element x y z (fractional)
Sm (0.3551, 0.8551, 0.7101)  6 Ga 3.21-3.26, 8 Al 3.27-3.50
Sm (0.6449, 0.1449, 0.2899)  6 Ga 3.21-3.26, 8 Al 3.27-3.50
Sm (0.0000, 0.0000, 0.0000)  4 Al 3.20, 8 Ga 3.24
Al (0.2515, 0.2515, 0.5030)  4 Ga 2.62-2.64
Al (0.0940, 0.5940, 0.1879)  3 Ga 2.47-2.48
Al (0.9060, 0.4060, 0.8121)  3 Ga 2.47-2.48
Al (0.7485, 0.7485, 0.4970)  4 Ga 2.62-2.64
Ga (0.8101, 0.3101, 0.6202)  5 Al 2.48-2.64
Ga (0.4523, 0.4523, 0.9047)  2 Al 2.47, 1 Ga 2.47
Ga (0.5477, 0.5477, 0.0953)  2 Al 2.47, 1 Ga 2.47
Ga (0.1899, 0.6899, 0.3798)  5 Al 2.48-2.64

- Spin magnetization: 0.000 μB/atom
- DOS at the Fermi energy: 3.9 states/eV/f.u.
- Energy relative to the elements: -534 meV/atom
- Final energy: -0.3148 Ry per atom
- Crystal system: orthorhombic